Entry 1:
Entry from Alexandria via LeMat-Bulk: Nd3Mg2 after structural relaxation (PBE).

abc: 3.8367 3.8367 20.8533
angles: 90.00 90.00 90.00
Last column: nearest neighbours and their distance in Å.
Space group P4/mmm (No. 123)
Asymmetric unit:
Nd1 0.0000 0.0000 0.0000  8 Mg 3.35
Nd2 0.0000 0.0000 0.1886  8 Mg 3.35-3.36
Nd3 0.0000 0.0000 0.3794  4 Mg 3.37, 4 Nd 3.70
Nd4 0.5000 0.5000 0.5000  12 Nd 3.70-3.84
Mg1 0.5000 0.5000 0.0946  8 Nd 3.35
Mg2 0.5000 0.5000 0.2838  8 Nd 3.36-3.37

* excess energy over the best structure of this formula in the dataset: 0.00 eV/f.u.
* DOS(E_F): 11.2 states/eV/cell

***

Entry 2:
Entry from Alexandria via LeMat-Bulk: K2AlAs after structural relaxation (PBE).

abc: 3.7136 3.7136 10.0447
angles: 90.00 90.00 90.00
Last column: nearest neighbours and their distance in Å.
Space group P4mm (No. 99)
Asymmetric unit:
K1 0.0000 0.0000 0.0000  1 Al 3.27, 4 As 3.58
K2 0.5000 0.5000 0.4208  1 As 3.39, 4 Al 3.66, 4 K 3.71
Al1 0.0000 0.0000 0.6740  4 As 2.76
As1 0.5000 0.5000 0.7582  4 Al 2.76

* excess energy over the best structure of this formula in the dataset: 0.79 eV/f.u.
* DOS(E_F): 1.5 states/eV/cell

***

Entry 3:
Entry from Alexandria via LeMat-Bulk: Pr8YHo6 after structural relaxation (PBE).

abc: 9.4870 9.4870 6.6105
angles: 90.00 90.00 120.00
Last column: nearest neighbours and their distance in Å.
Space group P-3 (No. 147)
Asymmetric unit:
Pr1 0.0378 0.7482 0.1665  3 Pr 3.27-3.40, 4 Ho 3.33-3.60, 1 Y 3.40
Pr2 0.3333 0.6667 0.1208  3 Pr 3.27
Y1 0.0000 0.0000 0.5000  6 Pr 3.40
Ho1 0.0951 0.6580 0.6555  1 Ho 3.33, 4 Pr 3.33-3.60

* excess energy over the best structure of this formula in the dataset: 0.68 eV/f.u.
* DOS(E_F): 22.7 states/eV/cell

***

Entry 4:
Entry from Alexandria via LeMat-Bulk: Sc4MoIr after structural relaxation (PBE).

abc: 7.6918 7.6918 7.6918
angles: 90.00 90.00 90.00
Last column: nearest neighbours and their distance in Å.
Space group F-43m (No. 216)
Asymmetric unit:
Sc1 0.1250 0.1250 0.1250  6 Sc 2.72
Mo1 0.0000 0.0000 0.5000  12 Sc 3.19, 4 Ir 3.33
Ir1 0.2500 0.2500 0.7500  12 Sc 3.19, 4 Mo 3.33

* DOS(E_F): 27.4 states/eV/cell

***

| no. | calculated total energy (Ry/atom) |
| --- | --- |
| 1 | -0.263 |
| 2 | -0.200 |
| 3 | -0.341 |
| 4 | -0.516 |